# 1
## Mn2NiOs (GGA-PBE)

Data for a geometry-optimized Mn2NiOs structure.

Unit cell a=4.4303 b=4.4303 c=4.4390 alpha=79.44 beta=79.44 gamma=34.26
Last column: magnetic moment on the atom in μB.
Positions (direct):
Mn: 0.0038 0.0038 0.0034  0.82
Mn: 0.7462 0.7462 0.7431  1.68
Ni: 0.4982 0.4982 0.5117  0.08
Os: 0.2518 0.2518 0.2418  -0.17

Results
Energy relative to the elements in eV/f.u.: 0.4
Total DFT energy (no corrections) in eV/atom: -8.7336



# 2
## La2Dy3Er2 (GGA-PBE)

Data for a geometry-optimized La2Dy3Er2 structure.

Unit cell a=3.6031 b=10.7864 c=6.1739 alpha=95.20 beta=73.09 gamma=89.97
Positions (direct):
La: 0.7154 0.1458 0.5703
La: 0.2846 0.8542 0.4297
Dy: 0.0000 0.0000 0.0000
Dy: 0.8578 0.5683 0.2836
Dy: 0.1422 0.4317 0.7164
Er: 0.4295 0.2898 0.1401
Er: 0.5705 0.7102 0.8599

Results
Energy relative to the elements in eV/f.u.: 0.2
Total DFT energy (no corrections) in eV/atom: -4.6610
Energy above the most stable polymorph in this dataset in meV per atom: 0



# 3
## Sr12TlHg6 (GGA-PBE)

Data for a geometry-optimized Sr12TlHg6 structure.

Unit cell a=9.8936 b=9.8936 c=9.8936 alpha=109.47 beta=109.47 gamma=109.47
Positions (direct):
Sr: 0.2910 0.1123 0.8213
Sr: 0.2910 0.4697 0.1787
Sr: 0.7090 0.5303 0.8213
Sr: 0.7090 0.8877 0.1787
Sr: 0.1123 0.8213 0.2910
Sr: 0.4697 0.1787 0.2910
Sr: 0.5303 0.8213 0.7090
Sr: 0.8877 0.1787 0.7090
Sr: 0.8213 0.2910 0.1123
Sr: 0.1787 0.2910 0.4697
Sr: 0.8213 0.7090 0.5303
Sr: 0.1787 0.7090 0.8877
Tl: 0.0000 0.0000 0.0000
Hg: 0.3658 0.5000 0.8658
Hg: 0.6342 0.5000 0.1342
Hg: 0.5000 0.8658 0.3658
Hg: 0.5000 0.1342 0.6342
Hg: 0.8658 0.3658 0.5000
Hg: 0.1342 0.6342 0.5000

Results
Energy relative to the elements in eV/f.u.: -6.7
Total DFT energy (no corrections) in eV/atom: -1.6368



# 4
## Cs2RbC (GGA-PBE)

Data for a geometry-optimized Cs2RbC structure.

Unit cell a=6.1696 b=6.1696 c=6.1696 alpha=60.00 beta=60.00 gamma=60.00
Last column: magnetic moment on the atom in μB.
Positions (direct):
Cs: 0.2500 0.2500 0.2500  0.00
Cs: 0.7500 0.7500 0.7500  0.00
C: 0.0000 0.0000 0.0000  0.52
Rb: 0.5000 0.5000 0.5000  -0.02

Results
Energy relative to the elements in eV/f.u.: 5.7
Total DFT energy (no corrections) in eV/atom: -1.5478



# 5
## LiBeV (GGA-PBE)

Data for a geometry-optimized LiBeV structure.

Unit cell a=3.0522 b=3.0522 c=9.0984 alpha=90.00 beta=90.00 gamma=90.00
Positions (direct):
Be: 0.0000 0.0000 0.5000
Be: 0.5000 0.5000 0.5000
V: 0.0000 0.5000 0.9503
V: 0.5000 0.0000 0.0497
Li: 0.0000 0.5000 0.2630
Li: 0.5000 0.0000 0.7370

Results
Energy relative to the elements in eV/f.u.: 1.5
Total DFT energy (no corrections) in eV/atom: -4.4189
Energy above the most stable polymorph in this dataset in meV per atom: 360



# 6
## TbZrBi (GGA-PBE)

Data for a geometry-optimized TbZrBi structure.

Unit cell a=4.3926 b=4.3926 c=8.4035 alpha=90.00 beta=90.00 gamma=90.00
Positions (direct):
Tb: 0.0000 0.5000 0.8486
Tb: 0.5000 0.0000 0.1514
Zr: 0.5000 0.5000 0.5000
Zr: 0.0000 0.0000 0.5000
Bi: 0.0000 0.5000 0.2334
Bi: 0.5000 0.0000 0.7666

Results
Energy relative to the elements in eV/f.u.: -1.7
Total DFT energy (no corrections) in eV/atom: -6.2486



# 7
## HoNp3Tl3S8 (GGA-PBE)

Data for a geometry-optimized HoNp3Tl3S8 structure.

Unit cell a=8.0498 b=8.0495 c=8.8390 alpha=117.10 beta=90.00 gamma=120.00
Last column: magnetic moment on the atom in μB.
Positions (direct):
Ho: 0.0000 0.0000 0.5000  0.04
Np: 0.5000 0.0000 0.5000  3.66
Np: 0.5000 0.5000 0.5000  3.66
Np: 0.0000 0.5000 0.5000  3.66
Tl: 0.0000 0.0000 0.0000  0.00
Tl: 0.0000 0.5000 0.0000  0.00
Tl: 0.5000 0.5000 0.0000  0.00
S: 0.2691 0.5382 0.3075  -0.09
S: 0.7309 0.4618 0.6925  -0.09
S: 0.7685 0.5370 0.3071  -0.07
S: 0.2315 0.4630 0.6929  -0.07
S: 0.7686 0.0384 0.3071  -0.07
S: 0.2314 0.9616 0.6929  -0.07
S: 0.2698 0.0384 0.3071  -0.07
S: 0.7302 0.9616 0.6929  -0.07

Results
Total DFT energy (no corrections) in eV/atom: -6.7799
Energy relative to the elements, uncorrected in eV/atom: -1.212



# 8
## CaPm2PrS4 (GGA-PBE)

Data for a geometry-optimized CaPm2PrS4 structure.

Unit cell a=8.1014 b=8.1014 c=8.0799 alpha=119.91 beta=119.91 gamma=89.98
Positions (direct):
Ca: 0.0000 0.5000 0.0000
Ca: 0.0000 0.5000 0.5000
Pm: 0.5000 0.0000 0.0000
Pm: 0.5000 0.0000 0.5000
Pm: 0.0000 0.0000 0.5000
Pm: 0.5000 0.5000 0.0000
Pr: 0.5000 0.5000 0.5000
Pr: 0.0000 0.0000 0.0000
S: 0.2485 0.7443 0.9964
S: 0.7556 0.2515 0.5036
S: 0.2443 0.7485 0.4964
S: 0.7515 0.2557 0.0036
S: 0.7524 0.7476 0.0041
S: 0.7524 0.7476 0.4959
S: 0.2476 0.2524 0.5041
S: 0.2476 0.2524 0.9959

Results
Total DFT energy (no corrections) in eV/atom: -6.1373
Energy relative to the elements, uncorrected in eV/atom: -2.038



# 9
## ScH12Rh5 (GGA-PBE)

Data for a geometry-optimized ScH12Rh5 structure.

Unit cell a=4.5724 b=6.9140 c=5.4012 alpha=106.35 beta=120.45 gamma=85.85
Positions (direct):
Sc: 0.0000 0.5000 0.5000
H: 0.3572 0.7658 0.7487
H: 0.6428 0.2342 0.2513
H: 0.5518 0.0285 0.7384
H: 0.4482 0.9715 0.2616
H: 0.5445 0.6153 0.1992
H: 0.4555 0.3847 0.8008
H: 0.1240 0.5714 0.2156
H: 0.8760 0.4286 0.7844
H: 0.8174 0.7515 0.7354
H: 0.1826 0.2485 0.2646
H: 0.0418 0.1256 0.7665
H: 0.9582 0.8744 0.2335
Rh: 0.7027 0.6351 0.9597
Rh: 0.2973 0.3649 0.0403
Rh: 0.5920 0.2083 0.5458
Rh: 0.4080 0.7917 0.4542
Rh: 0.0000 0.0000 0.0000

Results
Total DFT energy (no corrections) in eV/atom: -4.7684



# 10
## V3CrP (GGA-PBE)

Data for a geometry-optimized V3CrP structure.

Unit cell a=4.3360 b=4.3360 c=4.3360 alpha=90.00 beta=90.00 gamma=90.00
Last column: magnetic moment on the atom in μB.
Positions (direct):
Cr: 0.5000 0.5000 0.5000  3.27
V: 0.0000 0.5000 0.0000  -0.96
V: 0.0000 0.0000 0.5000  -0.96
V: 0.5000 0.0000 0.0000  -0.96
P: 0.0000 0.0000 0.0000  0.06

Results
Energy relative to the elements in eV/f.u.: 1.9
Total DFT energy (no corrections) in eV/atom: -8.0908
Energy above the most stable polymorph in this dataset in meV per atom: 486



# 11
## DyTmZnTc (GGA-PBE)

Data for a geometry-optimized DyTmZnTc structure.

Unit cell a=4.8920 b=4.8920 c=4.8920 alpha=60.00 beta=60.00 gamma=60.00
Positions (direct):
Zn: 0.0000 0.0000 0.0000
Tm: 0.2500 0.2500 0.2500
Tc: 0.5000 0.5000 0.5000
Dy: 0.7500 0.7500 0.7500

Results
Energy relative to the elements in eV/f.u.: -0.7
Total DFT energy (no corrections) in eV/atom: -5.3481



# 12
## Sr4MnNi (GGA-PBE)

Data for a geometry-optimized Sr4MnNi structure.

Unit cell a=6.9902 b=6.9902 c=6.9902 alpha=60.00 beta=60.00 gamma=60.00
Last column: magnetic moment on the atom in μB.
Positions (direct):
Sr: 0.1249 0.6250 0.6250  -0.04
Sr: 0.6250 0.6250 0.6250  -0.04
Sr: 0.6250 0.1249 0.6250  -0.04
Sr: 0.6250 0.6250 0.1249  -0.04
Mn: 0.2500 0.2500 0.2500  4.32
Ni: 0.0000 0.0000 0.0000  -0.53

Results
Energy relative to the elements in eV/f.u.: 6.6
Total DFT energy (no corrections) in eV/atom: -2.5136



# 13
## BeSe3 (GGA-PBE)

Data for a geometry-optimized BeSe3 structure.

Unit cell a=3.4957 b=6.4699 c=8.2269 alpha=90.00 beta=90.00 gamma=90.00
Positions (direct):
Be: 0.0000 0.7838 0.0000
Be: 0.5000 0.2162 0.5000
Se: 0.5000 0.5056 0.0000
Se: 0.0000 0.4944 0.5000
Se: 0.0000 0.2058 0.3003
Se: 0.0000 0.2058 0.6997
Se: 0.5000 0.7942 0.8003
Se: 0.5000 0.7942 0.1997

Results
Total DFT energy (no corrections) in eV/atom: -3.4521
Energy relative to the elements, uncorrected in eV/atom: 0.093
Energy above the most stable polymorph in this dataset in meV per atom: 153



# 14
## In2Ga2F7 (GGA-PBE)

Data for a geometry-optimized In2Ga2F7 structure.

Unit cell a=5.1295 b=6.4835 c=5.3786 alpha=87.25 beta=100.04 gamma=100.29
Positions (direct):
In: 0.5282 0.7693 0.2888
In: 0.4718 0.2307 0.7112
Ga: 0.0931 0.7316 0.8909
Ga: 0.9069 0.2684 0.1091
F: 0.2735 0.8765 0.6172
F: 0.8599 0.5686 0.1605
F: 0.7265 0.1235 0.3828
F: 0.1401 0.4314 0.8395
F: 0.0000 0.0000 0.0000
F: 0.7547 0.6722 0.6597
F: 0.2453 0.3278 0.3403

Results
Total DFT energy (no corrections) in eV/atom: -4.3365
Energy relative to the elements, uncorrected in eV/atom: -2.097
Energy above the most stable polymorph in this dataset in meV per atom: 0



# 15
## Hf2Zn4Au (GGA-PBE)

Data for a geometry-optimized Hf2Zn4Au structure.

Unit cell a=9.4691 b=5.3434 c=5.6272 alpha=118.35 beta=90.00 gamma=90.00
Positions (direct):
Hf: 0.0000 0.6636 0.3271
Hf: 0.0000 0.3364 0.6729
Hf: 0.5000 0.8364 0.6729
Hf: 0.5000 0.1636 0.3271
Zn: 0.7500 0.7500 0.0000
Zn: 0.7500 0.4997 0.5000
Zn: 0.7500 0.9997 0.5000
Zn: 0.7500 0.2500 0.0000
Zn: 0.2500 0.7500 0.0000
Zn: 0.2500 0.0003 0.5000
Zn: 0.2500 0.5003 0.5000
Zn: 0.2500 0.2500 0.0000
Au: 0.0000 0.0000 0.0000
Au: 0.5000 0.5000 0.0000

Results
Energy relative to the elements in eV/f.u.: 0.0
Total DFT energy (no corrections) in eV/atom: -4.0339
Energy above the most stable polymorph in this dataset in meV per atom: 0



# 16
## CeZrTa4 (GGA-PBE)

Data for a geometry-optimized CeZrTa4 structure.

Unit cell a=5.6447 b=5.6447 c=5.6447 alpha=60.00 beta=60.00 gamma=60.00
Positions (direct):
Zr: 0.0000 0.0000 0.0000
Ce: 0.2500 0.2500 0.2500
Ta: 0.6247 0.6247 0.1259
Ta: 0.6247 0.1259 0.6247
Ta: 0.6247 0.6247 0.6247
Ta: 0.1259 0.6247 0.6247

Results
Energy relative to the elements in eV/f.u.: 1.0
Total DFT energy (no corrections) in eV/atom: -10.1503



# 17
## MgIn2Os (GGA-PBE)

Data for a geometry-optimized MgIn2Os structure.

Unit cell a=5.0374 b=5.0374 c=4.9592 alpha=74.93 beta=74.93 gamma=39.70
Positions (direct):
In: 0.9882 0.9882 0.0223
In: 0.5118 0.5118 0.4777
Mg: 0.7500 0.7500 0.7500
Os: 0.2500 0.2500 0.2500

Results
Energy relative to the elements in eV/f.u.: 1.1
Total DFT energy (no corrections) in eV/atom: -4.3121



# 18
## Ca2FeNi (GGA-PBE)

Data for a geometry-optimized Ca2FeNi structure.

Unit cell a=7.7462 b=7.7462 c=6.2135 alpha=51.44 beta=51.44 gamma=90.00
Last column: magnetic moment on the atom in μB.
Positions (direct):
Ni: 0.0000 0.0000 0.0000  0.16
Ni: 0.7500 0.2500 0.5000  0.16
Ca: 0.6564 0.1250 0.2500  -0.08
Ca: 0.0935 0.6250 0.2500  -0.08
Ca: 0.3750 0.3436 0.7500  -0.08
Ca: 0.8750 0.9064 0.7500  -0.08
Fe: 0.5000 0.5000 0.0000  2.77
Fe: 0.2500 0.7500 0.5000  2.77

Results
Energy relative to the elements in eV/f.u.: 2.4
Total DFT energy (no corrections) in eV/atom: -3.9625
Energy above the most stable polymorph in this dataset in meV per atom: 466



# 19
## CaY2Ge4O12 (GGA-PBE)

Data for a geometry-optimized CaY2Ge4O12 structure.

Unit cell a=10.1380 b=10.1380 c=5.1167 alpha=90.00 beta=90.00 gamma=90.16
Positions (direct):
Ca: 0.5000 0.5000 0.5000
Ca: 0.0000 0.0000 0.5000
Y: 0.0000 0.5000 0.5000
Y: 0.5000 0.0000 0.5000
Y: 0.7500 0.7500 0.5000
Y: 0.2500 0.2500 0.5000
Ge: 0.7502 0.0213 0.9954
Ge: 0.2498 0.9787 0.0046
Ge: 0.2502 0.5213 0.0046
Ge: 0.7498 0.4787 0.9954
Ge: 0.0213 0.7502 0.0046
Ge: 0.9787 0.2498 0.9954
Ge: 0.5213 0.2502 0.9954
Ge: 0.4787 0.7498 0.0046
O: 0.5677 0.6772 0.2546
O: 0.0576 0.3273 0.2579
O: 0.4424 0.1727 0.2579
O: 0.9323 0.8228 0.2546
O: 0.4323 0.3228 0.7454
O: 0.9424 0.6727 0.7421
O: 0.5576 0.8273 0.7421
O: 0.0677 0.1772 0.7454
O: 0.6772 0.5677 0.7454
O: 0.3273 0.0576 0.7421
O: 0.1727 0.4424 0.7421
O: 0.8228 0.9323 0.7454
O: 0.3228 0.4323 0.2546
O: 0.6727 0.9424 0.2579
O: 0.8273 0.5576 0.2579
O: 0.1772 0.0677 0.2546
O: 0.8697 0.1303 0.1490
O: 0.3762 0.8762 0.1665
O: 0.1238 0.6238 0.1665
O: 0.6303 0.3697 0.1490
O: 0.1303 0.8697 0.8510
O: 0.6238 0.1238 0.8335
O: 0.8762 0.3762 0.8335
O: 0.3697 0.6303 0.8510

Results
Total DFT energy (no corrections) in eV/atom: -7.2709
Energy relative to the elements, uncorrected in eV/atom: -2.382



# 20
## Ce2Sm4Te3N2 (GGA-PBE)

Data for a geometry-optimized Ce2Sm4Te3N2 structure.

Unit cell a=4.7190 b=4.7190 c=13.3583 alpha=100.17 beta=100.17 gamma=90.00
Last column: magnetic moment on the atom in μB.
Positions (direct):
Ce: 0.3069 0.3069 0.6138  0.89
Ce: 0.6931 0.6931 0.3862  0.89
Sm: 0.4180 0.9180 0.8360  0.06
Sm: 0.9180 0.4180 0.8360  0.06
Sm: 0.0820 0.5820 0.1640  0.06
Sm: 0.5820 0.0820 0.1640  0.06
Te: 0.0000 0.0000 0.0000  0.00
Te: 0.1762 0.1762 0.3524  -0.02
Te: 0.8238 0.8238 0.6476  -0.02
N: 0.3916 0.3916 0.7832  -0.02
N: 0.6084 0.6084 0.2168  -0.02

Results
Total DFT energy (no corrections) in eV/atom: -6.3542
Energy relative to the elements, uncorrected in eV/atom: -1.189



# 21
## Ti5GaPt4 (GGA-PBE)

Data for a geometry-optimized Ti5GaPt4 structure.

Unit cell a=2.8342 b=2.8342 c=19.4292 alpha=90.00 beta=90.00 gamma=90.00
Last column: magnetic moment on the atom in μB.
Positions (direct):
Ti: 0.5000 0.5000 0.1014  0.23
Ti: 0.5000 0.5000 0.3003  -0.44
Ti: 0.5000 0.5000 0.5000  0.44
Ti: 0.5000 0.5000 0.6997  -0.44
Ti: 0.5000 0.5000 0.8986  0.23
Ga: 0.0000 0.0000 0.0000  -0.01
Pt: 0.0000 0.0000 0.2007  0.00
Pt: 0.0000 0.0000 0.4003  0.00
Pt: 0.0000 0.0000 0.5997  0.00
Pt: 0.0000 0.0000 0.7993  0.00

Results
Energy relative to the elements in eV/f.u.: -8.3
Total DFT energy (no corrections) in eV/atom: -7.4946



# 22
## Mn5Co2 (GGA-PBE)

Data for a geometry-optimized Mn5Co2 structure.

Unit cell a=4.3178 b=5.8478 c=6.3438 alpha=94.07 beta=90.00 gamma=111.67
Last column: magnetic moment on the atom in μB.
Positions (direct):
Mn: 0.6951 0.7184 0.5394  0.76
Mn: 0.9767 0.2816 0.9606  0.76
Mn: 0.8802 0.4348 0.3265  -0.21
Mn: 0.4454 0.5652 0.1735  -0.21
Mn: 0.1198 0.5652 0.6735  -0.21
Mn: 0.5546 0.4348 0.8265  -0.21
Mn: 0.0233 0.7184 0.0394  0.76
Mn: 0.3049 0.2816 0.4606  0.76
Mn: 0.1647 0.0000 0.7500  -0.80
Mn: 0.8353 0.0000 0.2500  -0.80
Co: 0.7355 0.1434 0.6082  0.04
Co: 0.5920 0.8566 0.8918  0.04
Co: 0.2645 0.8566 0.3918  0.04
Co: 0.4080 0.1434 0.1082  0.04

Results
Energy relative to the elements in eV/f.u.: 0.1
Total DFT energy (no corrections) in eV/atom: -8.5646